# Ba4GaPb3 (GGA-PBE, optimized geometry)
# - Energy of formation from the pure elements: -0.527 eV/atom
# - Uncorrected energy: -3.257 eV/atom
data_Ba4GaPb3
_chemical_formula_sum 'Ba4 Ga1 Pb3'
_cell_length_a 4.846
_cell_length_b 5.290
_cell_length_c 12.889
_cell_angle_alpha 90.00
_cell_angle_beta 90.00
_cell_angle_gamma 90.00
_symmetry_space_group_name_H-M 'P m m 2'
_symmetry_Int_Tables_number 25
_symmetry_space_group_name_Hall 'P 2 -2'
loop_
_atom_site_label
_atom_site_type_symbol
_atom_site_fract_x
_atom_site_fract_y
_atom_site_fract_z
Ba1 Ba 0.000 0.000 0.000
Ba2 Ba 0.000 0.500 0.490
Ba3 Ba 0.500 0.000 0.722
Ba4 Ba 0.500 0.500 0.225
Ga1 Ga 0.000 0.000 0.287
Pb1 Pb 0.000 0.500 0.783
Pb2 Pb 0.500 0.000 0.427
Pb3 Pb 0.500 0.500 0.937